# CsAlGaHg2

Crystalline CsAlGaHg2 at its relaxed geometry (PBE, Alexandria via LeMat-Bulk).

Unit cell a=5.6159 b=5.6159 c=5.0780 alpha=90.00 beta=90.00 gamma=90.00
Closest atoms and distances in Å follow each position.
Fractional positions:
Cs 0.5000 0.5000 0.5000  8 Hg 3.79, 4 Ga 3.97
Hg 0.0000 0.5000 0.0000  2 Al 2.81
Hg 0.5000 0.0000 0.0000  2 Al 2.81
Ga 0.0000 0.0000 0.5000  2 Al 2.54
Al 0.0000 0.0000 0.0000  2 Ga 2.54, 4 Hg 2.81

Calculated values
crystal system: tetragonal
electronic total energy: -8.17 eV for the cell shown
symmetry: P4/mmm (123)
DOS at the Fermi energy: 2.82 states/eV per cell
ΔE_f: 0.012 eV/atom


# CsAl2GaI8

Crystalline CsAl2GaI8 at its relaxed geometry (PBE, Alexandria via LeMat-Bulk).

Unit cell a=7.6412 b=7.6412 c=11.9375 alpha=71.33 beta=71.33 gamma=60.00
Closest atoms and distances in Å follow each position.
Fractional positions:
Cs 0.5000 0.5000 0.5000  12 I 4.33-4.41
Al 0.2483 0.2483 0.2550  4 I 2.56-2.58
Al 0.7517 0.7517 0.7450  4 I 2.56-2.58
Ga 0.0000 0.0000 0.0000  6 I 3.38
I 0.1715 0.1715 0.4856  1 Al 2.56
I 0.5820 0.2930 0.1807  1 Al 2.58
I 0.8285 0.8285 0.5144  1 Al 2.56
I 0.9443 0.5820 0.1807  1 Al 2.58
I 0.0557 0.4180 0.8193  1 Al 2.58
I 0.2930 0.9443 0.1807  1 Al 2.58
I 0.7070 0.0557 0.8193  1 Al 2.58
I 0.4180 0.7070 0.8193  1 Al 2.58

Calculated values
crystal system: trigonal
electronic total energy: -33.34 eV for the cell shown
symmetry: R-3 (148)
DOS at the Fermi energy: 0.00 states/eV per cell
energy relative to the elements, uncorrected: -0.798 eV per atom


# Cs2AlGaSe4

Crystalline Cs2AlGaSe4 at its relaxed geometry (PBE, Alexandria via LeMat-Bulk).

Unit cell a=6.1772 b=7.9587 c=13.2768 alpha=84.82 beta=76.55 gamma=67.16
Closest atoms and distances in Å follow each position.
Fractional positions:
Cs 0.1795 0.0000 0.6409  8 Se 3.88-3.92
Cs 0.8205 0.0000 0.3591  8 Se 3.88-3.92
Cs 0.5705 0.5000 0.8591  8 Se 3.88-3.92
Cs 0.9295 0.5000 0.1409  8 Se 3.88-3.92
Al 0.7500 0.5000 0.5000  4 Se 2.42
Al 0.0000 0.0000 0.0000  4 Se 2.42
Ga 0.2500 0.5000 0.5000  4 Se 2.45
Ga 0.5000 0.0000 0.0000  4 Se 2.45
Se 0.2858 0.8181 0.1024  1 Al 2.42, 1 Ga 2.45
Se 0.2064 0.1819 0.8976  1 Al 2.42, 1 Ga 2.45
Se 0.8961 0.8181 0.8976  1 Al 2.42, 1 Ga 2.45
Se 0.6117 0.1819 0.1024  1 Al 2.42, 1 Ga 2.45
Se 0.4642 0.6819 0.3976  1 Al 2.42, 1 Ga 2.45
Se 0.5436 0.3181 0.6024  1 Al 2.42, 1 Ga 2.45
Se 0.8539 0.6819 0.6024  1 Al 2.42, 1 Ga 2.45
Se 0.1383 0.3181 0.3976  1 Al 2.42, 1 Ga 2.45

Calculated values
crystal system: orthorhombic
electronic total energy: -62.40 eV for the cell shown
symmetry: Fddd (70)
DOS at the Fermi energy: 0.00 states/eV per cell
energy relative to the elements, uncorrected: -1.098 eV per atom


# CsAlGaTe4

Crystalline CsAlGaTe4 at its relaxed geometry (PBE, Alexandria via LeMat-Bulk).

Unit cell a=6.9951 b=7.3477 c=11.0455 alpha=90.00 beta=102.95 gamma=90.00
Closest atoms and distances in Å follow each position.
Fractional positions:
Cs 0.7843 0.7500 0.9437  8 Te 3.85-4.25, 1 Al 4.29
Cs 0.2157 0.2500 0.0563  8 Te 3.85-4.25, 1 Al 4.29
Al 0.6779 0.7500 0.3111  4 Te 2.64-2.69
Al 0.3221 0.2500 0.6889  4 Te 2.64-2.69
Ga 0.1846 0.7500 0.3165  4 Te 2.65-2.69
Ga 0.8154 0.2500 0.6835  4 Te 2.65-2.69
Te 0.0757 0.5161 0.7055  1 Al 2.64, 1 Ga 2.65
Te 0.9243 0.0161 0.2945  1 Al 2.64, 1 Ga 2.65
Te 0.9243 0.4839 0.2945  1 Al 2.64, 1 Ga 2.65
Te 0.0757 0.9839 0.7055  1 Al 2.64, 1 Ga 2.65
Te 0.3640 0.7500 0.1273  1 Al 2.64, 1 Ga 2.67
Te 0.6360 0.2500 0.8727  1 Al 2.64, 1 Ga 2.67
Te 0.5039 0.7500 0.5052  1 Ga 2.69, 1 Al 2.69
Te 0.4961 0.2500 0.4948  1 Ga 2.69, 1 Al 2.69

Calculated values
crystal system: monoclinic
electronic total energy: -47.69 eV for the cell shown
symmetry: P2_1/m (11)
DOS at the Fermi energy: 0.43 states/eV per cell
energy relative to the elements, uncorrected: -0.522 eV per atom